Record 1
A geometry-optimized BeAsSe4 structure. Source: Alexandria via LeMat-Bulk, functional PBE.

Results
**Volume**: 124.6 Å³ per cell
**Space group**: No. 216
**Electronic total energy**: -16.39 eV/cell

Unit cell a=5.6061 b=5.6061 c=5.6061 alpha=60.00 beta=60.00 gamma=60.00
With the nearest neighbours (Å) after each atom.
Element x y z (fractional)
Be 0.0000 0.0000 0.0000  12 Se 3.28, 4 As 3.43
As 0.2500 0.2500 0.2500  12 Se 3.29, 4 Be 3.43
Se 0.1218 0.6261 0.6261  6 Se 2.78-2.83
Se 0.6261 0.1218 0.6261  6 Se 2.78-2.83
Se 0.6261 0.6261 0.1218  6 Se 2.78-2.83
Se 0.6261 0.6261 0.6261  6 Se 2.78-2.83



Record 2
A geometry-optimized NdEr2Tm3 structure. Source: Alexandria via LeMat-Bulk, functional PBE.

Results
**ΔE to the lowest computed polymorph**: 1.23 eV/f.u.
**Volume**: 388.0 Å³ per cell
**Space group**: No. 36
**Electronic total energy**: -51.85 eV/cell
**Formation energy**: 230 meV per atom

Unit cell a=7.7170 b=7.7170 c=6.7589 alpha=90.00 beta=90.00 gamma=105.45
With the nearest neighbours (Å) after each atom.
Element x y z (fractional)
Nd 0.1466 0.8534 0.5000  7 Tm 3.37-3.69, 4 Er 3.49-3.50
Nd 0.8534 0.1466 0.0000  7 Tm 3.37-3.69, 4 Er 3.49-3.50
Er 0.1862 0.4700 0.2497  1 Er 3.21, 6 Tm 3.22-3.50, 2 Nd 3.49-3.50
Er 0.4700 0.1862 0.7497  1 Er 3.21, 6 Tm 3.22-3.50, 2 Nd 3.49-3.50
Er 0.5300 0.8138 0.2497  1 Er 3.21, 6 Tm 3.22-3.50, 2 Nd 3.49-3.50
Er 0.8138 0.5300 0.7497  1 Er 3.21, 6 Tm 3.22-3.50, 2 Nd 3.49-3.50
Tm 0.1536 0.8464 0.9982  3 Nd 3.37-3.69, 4 Er 3.43-3.50, 4 Tm 3.52-3.59
Tm 0.2042 0.4523 0.7486  3 Tm 3.21-3.59, 4 Er 3.22-3.39, 1 Nd 3.52
Tm 0.4523 0.2042 0.2486  3 Tm 3.21-3.59, 4 Er 3.22-3.39, 1 Nd 3.52
Tm 0.5477 0.7958 0.7486  3 Tm 3.21-3.59, 4 Er 3.22-3.39, 1 Nd 3.52
Tm 0.7958 0.5477 0.2486  3 Tm 3.21-3.59, 4 Er 3.22-3.39, 1 Nd 3.52
Tm 0.8464 0.1536 0.4982  3 Nd 3.37-3.69, 4 Er 3.43-3.50, 4 Tm 3.52-3.59



Record 3
A geometry-optimized CdMo2Os structure. Source: Alexandria via LeMat-Bulk, functional PBE.

Results
**Volume**: 64.6 Å³ per cell
**Space group**: No. 123
**Electronic total energy**: -31.78 eV/cell
**Formation energy**: 507 meV per atom

Unit cell a=3.9573 b=3.9573 c=4.1261 alpha=90.00 beta=90.00 gamma=90.00
With the nearest neighbours (Å) after each atom.
Element x y z (fractional)
Cd 0.0000 0.0000 0.0000  4 Os 2.80, 8 Mo 2.86
Mo 0.0000 0.5000 0.5000  4 Mo 2.80, 4 Os 2.86, 4 Cd 2.86
Mo 0.5000 0.0000 0.5000  4 Mo 2.80, 4 Os 2.86, 4 Cd 2.86
Os 0.5000 0.5000 0.0000  4 Cd 2.80, 8 Mo 2.86



Record 4
A geometry-optimized P5W structure. Source: Alexandria via LeMat-Bulk, functional PBE.

Results
**ΔE to the lowest computed polymorph**: 0.98 eV/f.u.
**Volume**: 203.5 Å³ per cell
**Space group**: No. 38
**Electronic total energy**: -77.56 eV/cell
**Formation energy**: 204 meV per atom

Unit cell a=4.3826 b=3.2519 c=14.2809 alpha=90.00 beta=90.00 gamma=90.00
With the nearest neighbours (Å) after each atom.
Element x y z (fractional)
P 0.0000 0.0000 0.0000  4 P 2.40-2.64
P 0.0000 0.0000 0.2623  4 P 2.33-2.35
P 0.0000 0.0000 0.6452  2 P 2.33, 2 W 2.45
P 0.0000 0.5000 0.1452  2 P 2.33, 2 W 2.45
P 0.0000 0.5000 0.5000  4 P 2.40-2.64
P 0.0000 0.5000 0.7623  4 P 2.33-2.35
P 0.5000 0.0000 0.2025  2 P 2.35, 2 W 2.52
P 0.5000 0.0000 0.9317  2 P 2.40, 2 W 2.53
P 0.5000 0.5000 0.4317  2 P 2.40, 2 W 2.53
P 0.5000 0.5000 0.7025  2 P 2.35, 2 W 2.52
W 0.5000 0.0000 0.5678  6 P 2.45-2.53
W 0.5000 0.5000 0.0678  6 P 2.45-2.53



Record 5
A geometry-optimized LiNb2Ag structure. Source: Alexandria via LeMat-Bulk, functional PBE.

Results
**ΔE to the lowest computed polymorph**: 0.35 eV/f.u.
**Volume**: 287.1 Å³ per cell
**Space group**: No. 122
**Electronic total energy**: -88.91 eV/cell
**Formation energy**: 669 meV per atom

Unit cell a=7.5225 b=7.5225 c=5.0727 alpha=90.00 beta=90.00 gamma=90.00
With the nearest neighbours (Å) after each atom.
Element x y z (fractional)
Li 0.0000 0.0000 0.0000  2 Ag 2.54, 4 Nb 2.70
Li 0.0000 0.5000 0.2500  2 Ag 2.54, 4 Nb 2.70
Li 0.5000 0.0000 0.7500  2 Ag 2.54, 4 Nb 2.70
Li 0.5000 0.5000 0.5000  2 Ag 2.54, 4 Nb 2.70
Nb 0.2440 0.2500 0.1250  2 Nb 2.54, 2 Li 2.70, 2 Ag 2.77
Nb 0.2500 0.7440 0.3750  2 Nb 2.54, 2 Li 2.70, 2 Ag 2.77
Nb 0.2500 0.7560 0.8750  2 Nb 2.54, 2 Li 2.70, 2 Ag 2.77
Nb 0.2560 0.2500 0.6250  2 Nb 2.54, 2 Li 2.70, 2 Ag 2.77
Nb 0.7440 0.7500 0.6250  2 Nb 2.54, 2 Li 2.70, 2 Ag 2.77
Nb 0.7500 0.2440 0.8750  2 Nb 2.54, 2 Li 2.70, 2 Ag 2.77
Nb 0.7500 0.2560 0.3750  2 Nb 2.54, 2 Li 2.70, 2 Ag 2.77
Nb 0.7560 0.7500 0.1250  2 Nb 2.54, 2 Li 2.70, 2 Ag 2.77
Ag 0.0000 0.0000 0.5000  2 Li 2.54, 4 Nb 2.77
Ag 0.0000 0.5000 0.7500  2 Li 2.54, 4 Nb 2.77
Ag 0.5000 0.0000 0.2500  2 Li 2.54, 4 Nb 2.77
Ag 0.5000 0.5000 0.0000  2 Li 2.54, 4 Nb 2.77



Record 6
A geometry-optimized LaSc2 structure. Source: Alexandria via LeMat-Bulk, functional PBE.

Results
**ΔE to the lowest computed polymorph**: 1.95 eV/f.u.
**Volume**: 99.9 Å³ per cell
**Space group**: No. 123
**Electronic total energy**: -15.46 eV/cell
**Formation energy**: 710 meV per atom

Unit cell a=5.3922 b=5.3922 c=3.4345 alpha=90.00 beta=90.00 gamma=90.00
With the nearest neighbours (Å) after each atom.
Element x y z (fractional)
La 0.0000 0.0000 0.0000  8 Sc 3.20, 2 La 3.43
Sc 0.0000 0.5000 0.5000  4 La 3.20, 2 Sc 3.43
Sc 0.5000 0.0000 0.5000  4 La 3.20, 2 Sc 3.43



Record 7
A geometry-optimized TbHfGaPd structure. Source: Alexandria via LeMat-Bulk, functional PBE.

Results
**Volume**: 327.9 Å³ per cell
**Space group**: No. 216
**Electronic total energy**: -99.19 eV/cell
**Formation energy**: -498 meV per atom

Unit cell a=6.8958 b=6.8958 c=6.8958 alpha=90.00 beta=90.00 gamma=90.00
With the nearest neighbours (Å) after each atom.
Element x y z (fractional)
Tb 0.0000 0.0000 0.0000  4 Pd 2.99, 4 Ga 2.99
Tb 0.0000 0.5000 0.5000  4 Pd 2.99, 4 Ga 2.99
Tb 0.5000 0.0000 0.5000  4 Pd 2.99, 4 Ga 2.99
Tb 0.5000 0.5000 0.0000  4 Pd 2.99, 4 Ga 2.99
Hf 0.0000 0.0000 0.5000  4 Pd 2.99, 4 Ga 2.99
Hf 0.0000 0.5000 0.0000  4 Pd 2.99, 4 Ga 2.99
Hf 0.5000 0.0000 0.0000  4 Pd 2.99, 4 Ga 2.99
Hf 0.5000 0.5000 0.5000  4 Pd 2.99, 4 Ga 2.99
Ga 0.2500 0.2500 0.2500  4 Hf 2.99, 4 Tb 2.99
Ga 0.2500 0.7500 0.7500  4 Hf 2.99, 4 Tb 2.99
Ga 0.7500 0.2500 0.7500  4 Hf 2.99, 4 Tb 2.99
Ga 0.7500 0.7500 0.2500  4 Hf 2.99, 4 Tb 2.99
Pd 0.2500 0.2500 0.7500  4 Hf 2.99, 4 Tb 2.99
Pd 0.2500 0.7500 0.2500  4 Hf 2.99, 4 Tb 2.99
Pd 0.7500 0.2500 0.2500  4 Hf 2.99, 4 Tb 2.99
Pd 0.7500 0.7500 0.7500  4 Hf 2.99, 4 Tb 2.99



Record 8
A geometry-optimized Pr4Hg3Sb structure. Source: Alexandria via LeMat-Bulk, functional PBE.

Results
**Volume**: 464.8 Å³ per cell
**Space group**: No. 12
**Electronic total energy**: -57.93 eV/cell

Unit cell a=7.6683 b=7.6722 c=8.7746 alpha=90.00 beta=115.80 gamma=90.00
With the nearest neighbours (Å) after each atom.
Element x y z (fractional)
Pr 0.1257 0.2500 0.2513  6 Hg 3.30-3.43, 2 Sb 3.35
Pr 0.1257 0.7500 0.2513  6 Hg 3.30-3.43, 2 Sb 3.35
Pr 0.3743 0.2500 0.7487  6 Hg 3.30-3.43, 2 Sb 3.35
Pr 0.3743 0.7500 0.7487  6 Hg 3.30-3.43, 2 Sb 3.35
Pr 0.6257 0.2500 0.2513  6 Hg 3.30-3.43, 2 Sb 3.35
Pr 0.6257 0.7500 0.2513  6 Hg 3.30-3.43, 2 Sb 3.35
Pr 0.8743 0.2500 0.7487  6 Hg 3.30-3.43, 2 Sb 3.35
Pr 0.8743 0.7500 0.7487  6 Hg 3.30-3.43, 2 Sb 3.35
Hg 0.0000 0.0000 0.5000  8 Pr 3.35
Hg 0.2429 0.0000 0.9861  8 Pr 3.30-3.43
Hg 0.2571 0.5000 0.0139  8 Pr 3.30-3.43
Hg 0.5000 0.5000 0.5000  8 Pr 3.35
Hg 0.7429 0.5000 0.9861  8 Pr 3.30-3.43
Hg 0.7571 0.0000 0.0139  8 Pr 3.30-3.43
Sb 0.0000 0.5000 0.5000  8 Pr 3.35
Sb 0.5000 0.0000 0.5000  8 Pr 3.35



Record 9
A geometry-optimized SrMgZr structure. Source: Alexandria via LeMat-Bulk, functional PBE.

Results
**ΔE to the lowest computed polymorph**: 0.11 eV/f.u.
**Volume**: 358.8 Å³ per cell
**Space group**: No. 12
**Electronic total energy**: -45.07 eV/cell
**Formation energy**: 186 meV per atom

Unit cell a=12.0190 b=3.4685 c=9.0574 alpha=90.00 beta=108.14 gamma=90.00
With the nearest neighbours (Å) after each atom.
Element x y z (fractional)
Sr 0.1597 0.0000 0.1328  5 Mg 3.44-3.85, 3 Sr 3.47-3.84, 3 Zr 3.60-3.67
Sr 0.3403 0.5000 0.8672  5 Mg 3.44-3.85, 3 Sr 3.47-3.84, 3 Zr 3.60-3.67
Sr 0.6597 0.5000 0.1328  5 Mg 3.44-3.85, 3 Sr 3.47-3.84, 3 Zr 3.60-3.67
Sr 0.8403 0.0000 0.8672  5 Mg 3.44-3.85, 3 Sr 3.47-3.84, 3 Zr 3.60-3.67
Mg 0.0393 0.5000 0.7354  4 Zr 3.15-3.22, 3 Sr 3.44-3.45, 2 Mg 3.47
Mg 0.4607 0.0000 0.2646  4 Zr 3.15-3.22, 3 Sr 3.44-3.45, 2 Mg 3.47
Mg 0.5393 0.0000 0.7354  4 Zr 3.15-3.22, 3 Sr 3.44-3.45, 2 Mg 3.47
Mg 0.9607 0.5000 0.2646  4 Zr 3.15-3.22, 3 Sr 3.44-3.45, 2 Mg 3.47
Zr 0.1484 0.0000 0.5250  5 Zr 3.14-3.47, 4 Mg 3.15-3.22
Zr 0.3516 0.5000 0.4750  5 Zr 3.14-3.47, 4 Mg 3.15-3.22
Zr 0.6484 0.5000 0.5250  5 Zr 3.14-3.47, 4 Mg 3.15-3.22
Zr 0.8516 0.0000 0.4750  5 Zr 3.14-3.47, 4 Mg 3.15-3.22



Record 10
A geometry-optimized LiCaCeGa structure. Source: Alexandria via LeMat-Bulk, functional PBE.

Results
**Volume**: 406.1 Å³ per cell
**Space group**: No. 216
**Electronic total energy**: -54.43 eV/cell
**Formation energy**: -183 meV per atom

Unit cell a=7.4051 b=7.4051 c=7.4051 alpha=90.00 beta=90.00 gamma=90.00
With the nearest neighbours (Å) after each atom.
Element x y z (fractional)
Li 0.0000 0.0000 0.0000  4 Ce 3.21, 4 Ca 3.21
Li 0.0000 0.5000 0.5000  4 Ce 3.21, 4 Ca 3.21
Li 0.5000 0.0000 0.5000  4 Ce 3.21, 4 Ca 3.21
Li 0.5000 0.5000 0.0000  4 Ce 3.21, 4 Ca 3.21
Ca 0.2500 0.2500 0.2500  4 Li 3.21, 4 Ga 3.21
Ca 0.2500 0.7500 0.7500  4 Li 3.21, 4 Ga 3.21
Ca 0.7500 0.2500 0.7500  4 Li 3.21, 4 Ga 3.21
Ca 0.7500 0.7500 0.2500  4 Li 3.21, 4 Ga 3.21
Ce 0.2500 0.2500 0.7500  4 Li 3.21, 4 Ga 3.21
Ce 0.2500 0.7500 0.2500  4 Li 3.21, 4 Ga 3.21
Ce 0.7500 0.2500 0.2500  4 Li 3.21, 4 Ga 3.21
Ce 0.7500 0.7500 0.7500  4 Li 3.21, 4 Ga 3.21
Ga 0.0000 0.0000 0.5000  4 Ce 3.21, 4 Ca 3.21
Ga 0.0000 0.5000 0.0000  4 Ce 3.21, 4 Ca 3.21
Ga 0.5000 0.0000 0.0000  4 Ce 3.21, 4 Ca 3.21
Ga 0.5000 0.5000 0.5000  4 Ce 3.21, 4 Ca 3.21



Record 11
A geometry-optimized Tb2Er3Cd structure. Source: Alexandria via LeMat-Bulk, functional PBE.

Results
**ΔE to the lowest computed polymorph**: 0.00 eV/f.u.
**Volume**: 176.6 Å³ per cell
**Space group**: No. 123
**Electronic total energy**: -24.42 eV/cell
**Formation energy**: -93 meV per atom

Unit cell a=3.5388 b=3.5388 c=14.1000 alpha=90.00 beta=90.00 gamma=90.00
With the nearest neighbours (Å) after each atom.
Element x y z (fractional)
Tb 0.0000 0.0000 0.1773  8 Er 3.53-3.54, 4 Tb 3.54
Tb 0.0000 0.0000 0.8227  8 Er 3.53-3.54, 4 Tb 3.54
Er 0.5000 0.5000 0.0000  8 Tb 3.54, 4 Er 3.54
Er 0.5000 0.5000 0.3537  4 Cd 3.24, 4 Tb 3.53, 4 Er 3.54
Er 0.5000 0.5000 0.6463  4 Cd 3.24, 4 Tb 3.53, 4 Er 3.54
Cd 0.0000 0.0000 0.5000  8 Er 3.24, 4 Cd 3.54



Record 12
A geometry-optimized CaBeCl2 structure. Source: Alexandria via LeMat-Bulk, functional PBE.

Results
**ΔE to the lowest computed polymorph**: 0.58 eV/f.u.
**Volume**: 435.2 Å³ per cell
**Space group**: No. 166
**Electronic total energy**: -39.14 eV/cell

Unit cell a=4.0467 b=4.0467 c=30.6861 alpha=90.00 beta=90.00 gamma=120.00
With the nearest neighbours (Å) after each atom.
Element x y z (fractional)
Ca 0.0000 0.0000 0.0000  6 Cl 2.75
Ca 0.3333 0.6667 0.6667  6 Cl 2.75
Ca 0.6667 0.3333 0.3333  6 Cl 2.75
Be 0.0000 0.0000 0.5000  6 Be 4.05, 6 Cl 4.35
Be 0.3333 0.6667 0.1667  6 Be 4.05, 6 Cl 4.35
Be 0.6667 0.3333 0.8333  6 Be 4.05, 6 Cl 4.35
Cl 0.0000 0.0000 0.2862  3 Ca 2.75
Cl 0.0000 0.0000 0.7138  3 Ca 2.75
Cl 0.3333 0.6667 0.3805  3 Ca 2.75
Cl 0.3333 0.6667 0.9529  3 Ca 2.75
Cl 0.6667 0.3333 0.0471  3 Ca 2.75
Cl 0.6667 0.3333 0.6195  3 Ca 2.75



Question: The lowest electronic total energy belongs to which entry?
Answer: TbHfGaPd



Please write out number 11 again, unchanged.
A geometry-optimized Tb2Er3Cd structure. Source: Alexandria via LeMat-Bulk, functional PBE.

Results
**ΔE to the lowest computed polymorph**: 0.00 eV/f.u.
**Volume**: 176.6 Å³ per cell
**Space group**: No. 123
**Electronic total energy**: -24.42 eV/cell
**Formation energy**: -93 meV per atom

Unit cell a=3.5388 b=3.5388 c=14.1000 alpha=90.00 beta=90.00 gamma=90.00
With the nearest neighbours (Å) after each atom.
Element x y z (fractional)
Tb 0.0000 0.0000 0.1773  8 Er 3.53-3.54, 4 Tb 3.54
Tb 0.0000 0.0000 0.8227  8 Er 3.53-3.54, 4 Tb 3.54
Er 0.5000 0.5000 0.0000  8 Tb 3.54, 4 Er 3.54
Er 0.5000 0.5000 0.3537  4 Cd 3.24, 4 Tb 3.53, 4 Er 3.54
Er 0.5000 0.5000 0.6463  4 Cd 3.24, 4 Tb 3.53, 4 Er 3.54
Cd 0.0000 0.0000 0.5000  8 Er 3.24, 4 Cd 3.54



Question: What is the electronic total energy in the eleventh record?
Answer: -24.42 eV/cell



Question: What is the formula in the eleventh record?
Answer: Tb2Er3Cd